A geometry-optimized Dy8SbPb5 structure, computed with PBE-GGA.

Output
Magnetic moment = 0.000 μB per formula unit
E_form (uncorrected) = -0.61 eV per atom
Energy = -4.857 eV per atom
V = 821.19 Å³ per cell

Structure (CIF):
```
data_Dy8SbPb5
_cell_length_a 9.362
_cell_length_b 9.362
_cell_length_c 9.370
_cell_angle_alpha 90.00
_cell_angle_beta 90.00
_cell_angle_gamma 90.00
_symmetry_space_group_name_H-M 'I -4'
_symmetry_Int_Tables_number 82
_symmetry_space_group_name_Hall 'I -4'
loop_
_atom_site_label
_atom_site_fract_x
_atom_site_fract_y
_atom_site_fract_z
Dy1 0.071 0.179 0.197
Dy2 0.071 0.319 0.554
Sb1 0.000 0.000 0.500
Pb1 0.000 0.500 0.250
Pb2 0.125 0.250 0.875
```

A geometry-optimized Cs2ReHgN structure, computed with PBE-GGA.

Output
Magnetic moment = 1.028 μB per formula unit
E_form (uncorrected) = 2.12 eV per atom
Energy = -2.441 eV per atom
V = 187.59 Å³ per cell

Structure (CIF):
```
data_Cs2ReHgN
_cell_length_a 5.972
_cell_length_b 5.972
_cell_length_c 5.261
_cell_angle_alpha 90.00
_cell_angle_beta 90.00
_cell_angle_gamma 90.00
_symmetry_space_group_name_H-M 'P 4/m m m'
_symmetry_Int_Tables_number 123
_symmetry_space_group_name_Hall '-P 4 2'
loop_
_atom_site_label
_atom_site_fract_x
_atom_site_fract_y
_atom_site_fract_z
Cs1 0.000 0.500 0.000
Re1 0.000 0.000 0.000
Hg1 0.000 0.000 0.500
N1 0.500 0.500 0.500
```

A geometry-optimized Na2Hf3Se8 structure, computed with PBE-GGA.

Output
Magnetic moment = 0.000 μB per formula unit
E_form (uncorrected) = -1.11 eV per atom
Energy = -5.757 eV per atom
V = 734.94 Å³ per cell

Structure (CIF):
```
data_Na2Hf3Se8
_cell_length_a 15.368
_cell_length_b 7.619
_cell_length_c 6.565
_cell_angle_alpha 90.00
_cell_angle_beta 107.03
_cell_angle_gamma 90.00
_symmetry_space_group_name_H-M 'C 1 2/m 1'
_symmetry_Int_Tables_number 12
_symmetry_space_group_name_Hall '-C 2y'
loop_
_atom_site_label
_atom_site_fract_x
_atom_site_fract_y
_atom_site_fract_z
Na1 0.242 0.000 0.165
Hf1 0.000 0.243 0.500
Hf2 0.000 0.500 0.000
Se1 0.103 0.000 0.408
Se2 0.107 0.264 0.898
Se3 0.107 0.500 0.404
```

A geometry-optimized Be2IrCl structure, computed with PBE-GGA.

Output
Magnetic moment = 0.000 μB per formula unit
E_form (uncorrected) = 0.68 eV per atom
Energy = -3.865 eV per atom
V = 201.33 Å³ per cell

Structure (CIF):
```
data_Be2IrCl
_cell_length_a 5.861
_cell_length_b 5.861
_cell_length_c 5.861
_cell_angle_alpha 90.00
_cell_angle_beta 90.00
_cell_angle_gamma 90.00
_symmetry_space_group_name_H-M 'F -4 3 m'
_symmetry_Int_Tables_number 216
_symmetry_space_group_name_Hall 'F -4 2 3'
loop_
_atom_site_label
_atom_site_fract_x
_atom_site_fract_y
_atom_site_fract_z
Be1 0.000 0.000 0.000
Be2 0.250 0.250 0.250
Ir1 0.250 0.250 0.750
Cl1 0.000 0.000 0.500
```

A geometry-optimized LiCuSb2 structure, computed with PBE-GGA.

Output
Magnetic moment = 0.000 μB per formula unit
E_form (uncorrected) = -0.06 eV per atom
Energy = -3.620 eV per atom
V = 80.64 Å³ per cell

Structure (CIF):
```
data_LiCuSb2
_cell_length_a 4.550
_cell_length_b 4.550
_cell_length_c 3.896
_cell_angle_alpha 90.00
_cell_angle_beta 90.00
_cell_angle_gamma 90.00
_symmetry_space_group_name_H-M 'P 4/m m m'
_symmetry_Int_Tables_number 123
_symmetry_space_group_name_Hall '-P 4 2'
loop_
_atom_site_label
_atom_site_fract_x
_atom_site_fract_y
_atom_site_fract_z
Li1 0.000 0.000 0.000
Cu1 0.500 0.500 0.000
Sb1 0.000 0.500 0.500
```

A geometry-optimized LaSiRu3 structure, computed with PBE-GGA.

Output
Magnetic moment = 0.000 μB per formula unit
E_form (uncorrected) = -0.07 eV per atom
Energy = -7.706 eV per atom
V = 92.41 Å³ per cell

Structure (CIF):
```
data_LaSiRu3
_cell_length_a 4.521
_cell_length_b 4.521
_cell_length_c 4.521
_cell_angle_alpha 90.00
_cell_angle_beta 90.00
_cell_angle_gamma 90.00
_symmetry_space_group_name_H-M 'P m -3 m'
_symmetry_Int_Tables_number 221
_symmetry_space_group_name_Hall '-P 4 2 3'
loop_
_atom_site_label
_atom_site_fract_x
_atom_site_fract_y
_atom_site_fract_z
La1 0.000 0.000 0.000
Si1 0.500 0.500 0.500
Ru1 0.000 0.500 0.500
```

A geometry-optimized Sm2Si4AgAu3 structure, computed with PBE-GGA.

Output
Magnetic moment = 0.000 μB per formula unit
E_form (uncorrected) = -0.51 eV per atom
Energy = -4.890 eV per atom
V = 193.03 Å³ per cell

Structure (CIF):
```
data_Sm2Si4AgAu3
_cell_length_a 4.319
_cell_length_b 4.319
_cell_length_c 10.346
_cell_angle_alpha 90.00
_cell_angle_beta 90.00
_cell_angle_gamma 90.00
_symmetry_space_group_name_H-M 'P -4 m 2'
_symmetry_Int_Tables_number 115
_symmetry_space_group_name_Hall 'P -4 -2'
loop_
_atom_site_label
_atom_site_fract_x
_atom_site_fract_y
_atom_site_fract_z
Sm1 0.000 0.500 0.249
Si1 0.000 0.000 0.000
Si2 0.000 0.500 0.636
Si3 0.500 0.500 0.000
Ag1 0.000 0.000 0.500
Au1 0.000 0.500 0.872
Au2 0.500 0.500 0.500
```

A geometry-optimized ThSn2Ge structure, computed with PBE-GGA.

Output
Magnetic moment = 0.000 μB per formula unit
Formation energy from the elements = -440 meV per atom
Energy = -5.450 eV per atom
V = 100.26 Å³ per cell

Structure (CIF):
```
data_ThSn2Ge
_cell_length_a 4.501
_cell_length_b 4.501
_cell_length_c 4.949
_cell_angle_alpha 90.00
_cell_angle_beta 90.00
_cell_angle_gamma 90.00
_symmetry_space_group_name_H-M 'P 4/m m m'
_symmetry_Int_Tables_number 123
_symmetry_space_group_name_Hall '-P 4 2'
loop_
_atom_site_label
_atom_site_fract_x
_atom_site_fract_y
_atom_site_fract_z
Th1 0.000 0.000 0.000
Sn1 0.000 0.500 0.500
Ge1 0.500 0.500 0.000
```